1.
A relaxed KPtRh2 crystal, computed with PBE.

Computed properties:
E: -4.8848 eV per atom
symmetry: Cmmm (65)
V: 17.0 Å³/atom
energy of formation: 0.58 eV per atom
polymorph energy (0 for the lowest one): 1.16 eV per formula unit

POSCAR file:
```
KPtRh2
1.0
-2.7032 4.2862 1.1574
-2.9622 -4.2688 0.1440
0.6018 -0.3290 2.6239
Pt K Rh
1 1 2
direct
0.0000 0.5000 0.5000 Pt
0.5000 0.0000 0.5000 K
0.5000 0.5000 0.0000 Rh
0.0000 0.0000 0.0000 Rh
```


2.
A relaxed KPtRh2 crystal, computed with PBE.

Computed properties:
E: -5.1029 eV per atom
symmetry: Pm (6)
V: 20.4 Å³/atom
energy of formation: 0.36 eV per atom
polymorph energy (0 for the lowest one): 0.28 eV per formula unit

POSCAR file:
```
KPtRh2
1.0
-1.9571 -0.6232 -3.7263
1.6949 -2.0535 -0.5467
-3.6376 -5.5204 2.8338
Rh K Pt
2 1 1
direct
0.0000 0.7978 0.0345 Rh
0.5000 0.2412 0.1486 Rh
0.0000 0.5548 0.5044 K
0.5000 0.9062 0.8125 Pt
```